one:
The following is a DFT calculation (PBE with a Hubbard U) of crystalline CoTePbO at its relaxed geometry.

Results
Volume   184.7 Å³ per cell

Cell: 4.149 4.149 12.392 Å, 90.00 90.00 120.00°
Atoms (fractional coordinates):
Co  0.000  0.000  0.000
Co  0.000  0.000  0.500
Te  0.333  0.667  0.087
Te  0.667  0.333  0.587
Pb  0.333  0.667  0.789
Pb  0.667  0.333  0.289
O  0.000  0.000  0.348
O  0.000  0.000  0.848


two:
The following is a DFT calculation (PBE with a Hubbard U) of crystalline CoTePbO at its relaxed geometry.

Results
Volume   367.4 Å³ per cell

Cell: 6.349 4.143 13.966 Å, 90.00 90.00 90.00°
Atoms (fractional coordinates):
Co  0.105  0.250  0.210
Co  0.395  0.750  0.710
Co  0.605  0.250  0.290
Co  0.895  0.750  0.790
Te  0.245  0.250  0.608
Te  0.255  0.750  0.108
Te  0.745  0.250  0.892
Te  0.755  0.750  0.392
Pb  0.244  0.250  0.913
Pb  0.256  0.750  0.413
Pb  0.744  0.250  0.587
Pb  0.756  0.750  0.087
O  0.203  0.750  0.817
O  0.297  0.250  0.317
O  0.703  0.750  0.683
O  0.797  0.250  0.183


Which structure above is the least stable one? one is the least stable one.